# 1
A relaxed NdThCuPd crystal. Source: the Alexandria database, functional GGA-PBE.

Lattice parameters (Å, degrees): 3.851 4.619 5.772 90.00 109.49 90.00
Fractional positions:
Th  0.863  0.500  0.725
Pd  0.571  0.500  0.143
Nd  0.143  0.000  0.287
Cu  0.423  0.000  0.845

size of the total moment	0.0	μB/f.u.
calculated total energy	-23.26	eV per cell
energy above the most stable polymorph in this dataset	0.000	eV per atom
calculated formation energy	-0.447	eV per atom

---

# 2
A relaxed ScCd2P crystal. Source: the Alexandria database, functional GGA-PBE.

Lattice parameters (Å, degrees): 5.522 5.522 5.522 139.00 130.38 66.26
Fractional positions:
Cd  0.990  0.990  0.000
Cd  0.268  0.768  0.500
P  0.524  0.524  0.000
Sc  0.719  0.219  0.500

size of the total moment	0.0	μB/f.u.
calculated total energy	-14.37	eV per cell
calculated formation energy	-0.199	eV per atom

---

# 3
A relaxed CaSbI2N crystal. Source: the Alexandria database, functional GGA-PBE.

Lattice parameters (Å, degrees): 5.037 5.037 4.999 90.00 90.00 90.00
Fractional positions:
Sb  0.000  0.000  0.500
I  0.500  0.000  0.000
I  0.000  0.500  0.000
Ca  0.500  0.500  0.500
N  0.000  0.000  0.000

size of the total moment	0.0	μB/f.u.
calculated total energy	-16.20	eV per cell
energy above the most stable polymorph in this dataset	0.212	eV per atom

---

# 4
A relaxed Tl5BiPb crystal. Source: the Alexandria database, functional GGA-PBE.

Lattice parameters (Å, degrees): 5.154 5.154 8.809 90.00 90.00 90.00
Fractional positions:
Tl  0.000  0.500  0.736
Tl  0.500  0.000  0.264
Tl  0.500  0.500  0.000
Tl  0.000  0.500  0.264
Tl  0.500  0.000  0.736
Bi  0.000  0.000  0.000
Pb  0.000  0.000  0.500

size of the total moment	0.0	μB/f.u.
calculated total energy	-19.00	eV per cell
energy above the most stable polymorph in this dataset	0.019	eV per atom
calculated formation energy	0.060	eV per atom

---

# 5
A relaxed TlCoCu2 crystal. Source: the Alexandria database, functional GGA-PBE.

Lattice parameters (Å, degrees): 4.349 4.349 4.349 60.00 60.00 60.00
Last column: magnetic moment on the atom in μB.
Fractional positions:
Cu  0.250  0.250  0.250  0.00
Cu  0.750  0.750  0.750  0.00
Co  0.000  0.000  0.000  1.23
Tl  0.500  0.500  0.500  -0.01

size of the total moment	1.2	μB/f.u.
calculated total energy	-15.92	eV per cell
energy above the most stable polymorph in this dataset	0.094	eV per atom
calculated formation energy	0.435	eV per atom

---

# 6
A relaxed Pa2RhSe6 crystal. Source: the Alexandria database, functional GGA-PBE.

Lattice parameters (Å, degrees): 6.335 7.321 8.962 90.00 87.59 90.00
Fractional positions:
Se  0.648  0.466  0.255
Se  0.852  0.966  0.245
Se  0.346  0.822  0.055
Se  0.846  0.678  0.555
Se  0.657  0.176  0.556
Se  0.843  0.676  0.944
Se  0.157  0.324  0.056
Se  0.343  0.824  0.444
Se  0.654  0.178  0.945
Se  0.148  0.034  0.755
Se  0.154  0.322  0.445
Se  0.352  0.534  0.745
Pa  0.558  0.867  0.749
Pa  0.442  0.133  0.251
Pa  0.058  0.633  0.249
Pa  0.942  0.367  0.751
Rh  0.000  0.000  0.500
Rh  0.500  0.500  0.000

size of the total moment	0.0	μB/f.u.
calculated total energy	-114.49	eV per cell

---

# 7
A relaxed Tc2NiCl crystal. Source: the Alexandria database, functional GGA-PBE.

Lattice parameters (Å, degrees): 2.771 2.771 8.583 90.00 90.00 118.81
Last column: magnetic moment on the atom in μB.
Fractional positions:
Cl  0.500  0.500  0.250  0.01
Tc  0.000  0.000  0.996  0.35
Tc  0.000  0.000  0.504  0.35
Ni  0.500  0.500  0.750  0.35

size of the total moment	1.1	μB/f.u.
calculated total energy	-25.68	eV per cell
energy above the most stable polymorph in this dataset	0.426	eV per atom

---

# 8
A relaxed BaIr2PbO crystal. Source: the Alexandria database, functional GGA-PBE.

Lattice parameters (Å, degrees): 5.385 4.362 5.385 90.00 90.00 90.00
Last column: magnetic moment on the atom in μB.
Fractional positions:
O  0.000  0.500  0.000  0.02
Pb  0.500  0.500  0.500  -0.03
Ir  0.500  0.000  0.000  0.59
Ir  0.000  0.000  0.500  0.57
Ba  0.000  0.000  0.000  0.00

size of the total moment	1.2	μB/f.u.
calculated total energy	-21.08	eV per cell

---

# 9
A relaxed VAg3Au12 crystal. Source: the Alexandria database, functional GGA-PBE.

Lattice parameters (Å, degrees): 4.160 4.160 16.486 90.00 90.00 90.00
Last column: magnetic moment on the atom in μB.
Fractional positions:
Au  0.000  0.500  0.879  0.06
Au  0.500  0.000  0.879  0.06
Au  0.500  0.500  0.500  0.03
Au  0.500  0.000  0.374  0.01
Au  0.500  0.500  0.752  0.03
Au  0.000  0.500  0.121  0.06
Au  0.500  0.000  0.626  0.01
Au  0.000  0.500  0.374  0.01
Au  0.500  0.500  0.248  0.03
Au  0.500  0.500  0.000  0.08
Au  0.000  0.500  0.626  0.01
Au  0.500  0.000  0.121  0.06
Ag  0.000  0.000  0.249  -0.01
Ag  0.000  0.000  0.751  -0.01
Ag  0.000  0.000  0.500  0.00
V  0.000  0.000  0.000  2.38

size of the total moment	3.2	μB/f.u.
calculated total energy	-57.10	eV per cell
calculated formation energy	-0.006	eV per atom

---

# 10
A relaxed Ba5C4 crystal. Source: the Alexandria database, functional GGA-PBE.

Lattice parameters (Å, degrees): 7.359 7.359 7.359 100.65 100.65 129.08
Last column: magnetic moment on the atom in μB.
Fractional positions:
Ba  0.707  0.707  0.414  0.04
Ba  0.000  0.000  0.000  -0.04
Ba  0.293  0.293  0.586  0.04
Ba  0.707  0.293  0.000  0.04
Ba  0.293  0.707  0.000  0.04
C  0.742  0.000  0.742  0.25
C  0.000  0.258  0.258  0.25
C  0.258  0.000  0.258  0.25
C  0.000  0.742  0.742  0.25

size of the total moment	1.9	μB/f.u.
calculated total energy	-31.86	eV per cell
energy above the most stable polymorph in this dataset	0.463	eV per atom
calculated formation energy	1.628	eV per atom

---

# 11
A relaxed PuGa2Si crystal. Source: the Alexandria database, functional GGA-PBE.

Lattice parameters (Å, degrees): 4.308 4.308 5.564 67.22 67.22 60.00
Last column: magnetic moment on the atom in μB.
Fractional positions:
Pu  0.500  0.500  0.500  5.33
Ga  0.722  0.722  0.834  0.02
Ga  0.278  0.278  0.166  0.02
Si  0.000  0.000  0.000  -0.03

size of the total moment	5.6	μB/f.u.
calculated total energy	-26.21	eV per cell
energy above the most stable polymorph in this dataset	0.262	eV per atom

---

# 12
A relaxed Al2TlAu3 crystal. Source: the Alexandria database, functional GGA-PBE.

Lattice parameters (Å, degrees): 5.665 7.026 7.026 111.71 90.00 90.00
Fractional positions:
Al  0.000  0.815  0.185
Al  0.500  0.185  0.815
Al  0.500  0.815  0.185
Al  0.000  0.185  0.815
Tl  0.250  0.354  0.354
Tl  0.750  0.646  0.646
Au  0.750  0.104  0.494
Au  0.750  0.494  0.104
Au  0.250  0.506  0.896
Au  0.250  0.896  0.506
Au  0.750  0.085  0.085
Au  0.250  0.915  0.915

size of the total moment	0.0	μB/f.u.
calculated total energy	-42.63	eV per cell
calculated formation energy	-0.272	eV per atom

---

| no. | DOS(E_F) (states/eV/cell) |
| --- | --- |
| 1 | 3.85 |
| 2 | 2.36 |
| 3 | 2.54 |
| 4 | 2.45 |
| 5 | 4.11 |
| 6 | 13.57 |
| 7 | 6.24 |
| 8 | 5.38 |
| 9 | 9.55 |
| 10 | 5.45 |
| 11 | 11.21 |
| 12 | 4.55 |